Here is an optimized crystal structure of ScTl4Ir from the Alexandria database. Energies are from PBE.

total moment = 0.000 μB per atom
E = -20.415 eV for the cell shown
volume = 25.6 A^3/atom

```
data_ScTl4Ir
_chemical_formula_sum 'Sc1 Tl4 Ir1'
_space_group_name_H-M_alt 'P 1'
_space_group_IT_number 1
_cell_length_a 6.014
_cell_length_b 6.014
_cell_length_c 6.014
_cell_angle_alpha 60.00
_cell_angle_beta 60.00
_cell_angle_gamma 60.00
loop_
_space_group_symop_operation_xyz
'x,y,z'
loop_
_atom_site_label
_atom_site_type_symbol
_atom_site_fract_x
_atom_site_fract_y
_atom_site_fract_z
Sc1 Sc 0.000 0.000 0.000
Tl1 Tl 0.126 0.625 0.625
Tl2 Tl 0.625 0.126 0.625
Tl3 Tl 0.625 0.625 0.126
Tl4 Tl 0.625 0.625 0.625
Ir1 Ir 0.250 0.250 0.250
```